1.
Entry from Alexandria via LeMat-Bulk: a geometry-optimized NaSc2ReAg structure (PBE).

```
NaSc2ReAg
1.0
5.113 0.000 0.000
0.000 5.113 0.000
0.000 0.000 4.748
Na Sc Re Ag
1 2 1 1
direct
0.000 0.000 0.000
0.000 0.500 0.500
0.500 0.000 0.500
0.500 0.500 0.000
0.000 0.000 0.500
```

Properties
For the formation energy from the elements, the calculation gives 1.280 eV per atom. Its symmetry is No. 123. Its crystal system is tetragonal.

---

2.
Entry from Alexandria via LeMat-Bulk: a geometry-optimized LuAsAu4 structure (PBE).

```
LuAsAu4
1.0
0.000 3.928 3.928
3.928 0.000 3.928
3.928 3.928 0.000
Lu As Au
1 1 4
direct
0.000 0.000 0.000
0.250 0.250 0.250
0.125 0.625 0.625
0.625 0.125 0.625
0.625 0.625 0.125
0.625 0.625 0.625
```

Properties
For the formation energy from the elements, the calculation gives -0.320 eV per atom. Its symmetry is No. 216. Its crystal system is cubic.

---

3.
Entry from Alexandria via LeMat-Bulk: a geometry-optimized MgZn2Rh3 structure (PBE).

```
MgZn2Rh3
1.0
3.058 0.000 0.000
0.000 3.058 0.000
0.000 0.000 9.149
Mg Zn Rh
1 2 3
direct
0.000 0.000 0.000
0.000 0.000 0.337
0.000 0.000 0.663
0.500 0.500 0.176
0.500 0.500 0.500
0.500 0.500 0.824
```

Properties
For the formation energy from the elements, the calculation gives -0.411 eV per atom. Its symmetry is No. 123. Its crystal system is tetragonal.

---

4.
Entry from Alexandria via LeMat-Bulk: a geometry-optimized ZrNbB3 structure (PBE).

```
ZrNbB3
1.0
4.150 0.000 0.000
0.000 4.150 0.000
0.000 0.000 4.150
Zr Nb B
1 1 3
direct
0.000 0.000 0.000
0.500 0.500 0.500
0.000 0.500 0.500
0.500 0.000 0.500
0.500 0.500 0.000
```

Properties
For the formation energy from the elements, the calculation gives 0.738 eV per atom. Its symmetry is No. 221. Its crystal system is cubic. The excess energy over the best structure of this formula in the dataset is 1.6246 eV per atom.

---

5.
Entry from Alexandria via LeMat-Bulk: a geometry-optimized LiErS2 structure (PBE).

```
LiErS2
1.0
-2.696 2.696 5.563
2.696 -2.696 5.563
2.696 2.696 -5.563
Li Er S
2 2 4
direct
0.375 0.625 0.750
0.625 0.375 0.250
0.125 0.875 0.250
0.875 0.125 0.750
0.118 0.368 0.750
0.368 0.118 0.250
0.632 0.882 0.750
0.882 0.632 0.250
```

Properties
Its symmetry is No. 141. Its crystal system is tetragonal. The formation energy (no corrections) comes out at -1.851 eV per atom.

---

6.
Entry from Alexandria via LeMat-Bulk: a geometry-optimized Ac4RuPtSe2 structure (PBE).

```
Ac4RuPtSe2
1.0
7.538 0.000 0.000
0.000 4.355 0.000
-2.489 0.000 7.650
Ac Ru Pt Se
4 1 1 2
direct
0.234 0.000 0.226
0.248 0.500 0.775
0.752 0.500 0.225
0.766 0.000 0.774
0.000 0.500 0.000
0.500 0.000 0.000
0.000 0.000 0.500
0.500 0.500 0.500
```

Properties
Its symmetry is No. 10. Its crystal system is monoclinic. The formation energy (no corrections) comes out at -1.213 eV per atom.

---

7.
Entry from Alexandria via LeMat-Bulk: a geometry-optimized GePtW3 structure (PBE).

```
GePtW3
1.0
4.545 0.000 0.000
0.000 4.545 0.000
0.000 0.000 4.545
Ge Pt W
1 1 3
direct
0.000 0.000 0.000
0.500 0.500 0.500
0.000 0.000 0.500
0.000 0.500 0.000
0.500 0.000 0.000
```

Properties
For the formation energy from the elements, the calculation gives 1.660 eV per atom. Its symmetry is No. 221. Its crystal system is cubic. The excess energy over the best structure of this formula in the dataset is 0.0000 eV per atom.

---

8.
Entry from Alexandria via LeMat-Bulk: a geometry-optimized TbAl3 structure (PBE).

```
TbAl3
1.0
3.106 1.793 7.062
-3.106 1.793 7.062
0.000 -3.587 7.062
Tb Al
3 9
direct
0.000 0.000 0.000
0.218 0.218 0.218
0.782 0.782 0.782
0.000 0.500 0.500
0.264 0.703 0.703
0.297 0.297 0.736
0.297 0.736 0.297
0.500 0.000 0.500
0.500 0.500 0.000
0.703 0.264 0.703
0.703 0.703 0.264
0.736 0.297 0.297
```

Properties
For the formation energy from the elements, the calculation gives -0.434 eV per atom. Its symmetry is No. 166. Its crystal system is trigonal.

---

Number 1: raw total energy -22.880 eV for the cell shown. Number 2: raw total energy -24.202 eV for the cell shown. Number 3: raw total energy -28.665 eV for the cell shown. Number 4: raw total energy -34.963 eV for the cell shown. Number 5: raw total energy -44.271 eV for the cell shown. Number 6: raw total energy -48.422 eV for the cell shown. Number 7: raw total energy -41.218 eV for the cell shown. Number 8: raw total energy -52.779 eV for the cell shown.